(1)
Computed, not measured: Nd7AlCl12 after structural relaxation at the GGA-PBE level of DFT.

Computed properties:
Formation energy without anion corrections = -1849 meV/atom
Symmetry = No. 148
Spin magnetization = 0.00 Bohr magnetons per cell

a = 9.204 Å, b = 9.204 Å, c = 9.204 Å
α = 107.91°, β = 107.91°, γ = 107.91°
Fractional coordinates of all 20 atoms:
Nd: 0.966 0.662 0.882
Nd: 0.338 0.118 0.034
Nd: 0.118 0.034 0.338
Nd: 0.500 0.500 0.500
Nd: 0.882 0.966 0.662
Nd: 0.662 0.882 0.966
Nd: 0.034 0.338 0.118
Al: 0.000 0.000 0.000
Cl: 0.922 0.308 0.779
Cl: 0.692 0.221 0.078
Cl: 0.471 0.167 0.387
Cl: 0.833 0.613 0.529
Cl: 0.221 0.078 0.692
Cl: 0.613 0.529 0.833
Cl: 0.387 0.471 0.167
Cl: 0.779 0.922 0.308
Cl: 0.167 0.387 0.471
Cl: 0.529 0.833 0.613
Cl: 0.308 0.779 0.922
Cl: 0.078 0.692 0.221


(2)
Computed, not measured: AlNiCl after structural relaxation at the GGA-PBE level of DFT.

Computed properties:
Formation energy without anion corrections = -295 meV/atom
Symmetry = No. 156
Spin magnetization = 0.00 Bohr magnetons per cell

a = 3.194 Å, b = 3.194 Å, c = 5.325 Å
α = 90.00°, β = 90.00°, γ = 120.00°
Fractional coordinates of all 3 atoms:
Ni: 0.667 0.333 0.699
Al: 0.000 0.000 0.971
Cl: 0.333 0.667 0.330


(3)
Computed, not measured: Al2NiCl after structural relaxation at the GGA-PBE level of DFT.

Computed properties:
Formation energy without anion corrections = -292 meV/atom
Symmetry = No. 123
Spin magnetization = 0.00 Bohr magnetons per cell

a = 2.969 Å, b = 2.969 Å, c = 7.187 Å
α = 90.00°, β = 90.00°, γ = 90.00°
Fractional coordinates of all 4 atoms:
Ni: 0.500 0.500 0.750
Al: 0.000 0.000 0.944
Al: 0.000 0.000 0.556
Cl: 0.500 0.500 0.250


(4)
Computed, not measured: Al2NiCl8 after structural relaxation at the GGA-PBE level of DFT.

Computed properties:
Formation energy without anion corrections = -1230 meV/atom
Symmetry = No. 12
Spin magnetization = 0.12 Bohr magnetons per cell

a = 6.977 Å, b = 7.413 Å, c = 7.413 Å
α = 71.12°, β = 84.29°, γ = 84.29°
Fractional coordinates of all 11 atoms:
Al: 0.681 0.209 0.209
Al: 0.319 0.791 0.791
Ni: 0.000 0.000 0.000
Cl: 0.157 0.077 0.715
Cl: 0.157 0.715 0.077
Cl: 0.843 0.923 0.285
Cl: 0.253 0.626 0.626
Cl: 0.843 0.285 0.923
Cl: 0.385 0.189 0.189
Cl: 0.615 0.811 0.811
Cl: 0.747 0.374 0.374


> What is the formation energy without anion corrections in the fourth record?

-1230 meV/atom


> Which value of spin magnetization does entry 2 give?

0.00 Bohr magnetons per cell